Below is a geometry-optimized Fe3MoO6 structure, with properties calculated at the GGA+U level.

Values from the calculation:
Raw total energy: -135.279 eV per cell
Spin magnetization: 28.00 μB per cell

Lattice parameters (Å, degrees): 6.736 6.736 5.329 90.00 90.00 100.05
Fractional positions:
Fe 0.073 0.927 0.500
Fe 0.152 0.399 0.566
Fe 0.399 0.152 0.066
Fe 0.601 0.848 0.566
Fe 0.848 0.601 0.066
Fe 0.927 0.073 0.000
Mo 0.359 0.641 0.068
Mo 0.641 0.359 0.568
O 0.111 0.550 0.914
O 0.138 0.165 0.266
O 0.165 0.138 0.766
O 0.262 0.738 0.386
O 0.450 0.889 0.914
O 0.473 0.527 0.708
O 0.527 0.473 0.208
O 0.550 0.111 0.414
O 0.738 0.262 0.886
O 0.835 0.862 0.266
O 0.862 0.835 0.766
O 0.889 0.450 0.414